## 1
# Ce8Ru3Au2

A relaxed structure of Ce8Ru3Au2 (PBE, Alexandria).

Output
Fermi-level density of states = 2.964 states/eV/atom
total magnetization = 6.2 μB per formula unit

Unit cell a=6.8563 b=7.2590 c=8.3431 alpha=115.79 beta=103.25 gamma=90.00
Fractional positions:
Ce: 0.8998 0.5935 0.1871
Ce: 0.1002 0.4065 0.8129
Ce: 0.8658 0.1413 0.2827
Ce: 0.1342 0.8587 0.7173
Ce: 0.6209 0.6353 0.7789
Ce: 0.6209 0.1436 0.7789
Ce: 0.3791 0.8564 0.2211
Ce: 0.3791 0.3647 0.2211
Ru: 0.5000 0.0000 0.0000
Ru: 0.0000 0.2060 0.0000
Ru: 0.0000 0.7940 0.0000
Au: 0.3065 0.2573 0.5146
Au: 0.6935 0.7427 0.4854

## 2
# Ce8Ru3Au2

A relaxed structure of Ce8Ru3Au2 (PBE, Alexandria).

Output
Fermi-level density of states = 1.940 states/eV/atom
total magnetization = 0.0 μB per formula unit

Unit cell a=4.8070 b=8.5717 c=7.6812 alpha=105.02 beta=90.00 gamma=90.00
Fractional positions:
Ce: 0.0000 0.5726 0.2625
Ce: 0.0000 0.4274 0.7375
Ce: 0.0000 0.1191 0.2499
Ce: 0.0000 0.8809 0.7501
Ce: 0.5000 0.6187 0.9014
Ce: 0.5000 0.0742 0.6898
Ce: 0.5000 0.9258 0.3102
Ce: 0.5000 0.3813 0.0986
Ru: 0.5000 0.0000 0.0000
Ru: 0.0000 0.2194 0.9483
Ru: 0.0000 0.7806 0.0517
Au: 0.5000 0.3280 0.4755
Au: 0.5000 0.6720 0.5245

Which is more stable than every other structure shown? 2 is more stable than every other one.